A relaxed structure of TaIn2FeC, computed with PBE.

Symmetry: P4/mmm (123)
Crystal system: tetragonal

Unit cell a=4.815 b=3.583 c=4.815 alpha=90.00 beta=90.00 gamma=90.00
Last column: magnetic moment on the atom in μB.
Element x y z (fractional)
1 C 0.000 0.000 0.000  -0.04
2 Ta 0.500 0.500 0.500  -0.06
3 In 0.000 0.000 0.500  -0.01
4 Fe 0.000 0.500 0.000  0.58
5 In 0.500 0.000 0.000  -0.01

---

A relaxed structure of FeIrC3, computed with PBE.

Symmetry: Pm-3m (221)
Crystal system: cubic

Unit cell a=3.700 b=3.700 c=3.700 alpha=90.00 beta=90.00 gamma=90.00
Element x y z (fractional)
1 C 0.000 0.500 0.000
2 C 0.000 0.000 0.500
3 Fe 0.000 0.000 0.000
4 Ir 0.500 0.500 0.500
5 C 0.500 0.000 0.000

---

A relaxed structure of Fe3IrC, computed with PBE.

Symmetry: Pm-3m (221)
E above lowest polymorph, meV/atom: 2156
Crystal system: cubic

Unit cell a=4.661 b=4.661 c=4.661 alpha=90.00 beta=90.00 gamma=90.00
Last column: magnetic moment on the atom in μB.
Element x y z (fractional)
1 Fe 0.500 0.000 0.000  2.85
2 Ir 0.000 0.000 0.000  0.65
3 Fe 0.000 0.000 0.500  3.66
4 C 0.500 0.500 0.500  -0.56
5 Fe 0.000 0.500 0.000  3.39

---

no.,energy of formation from the pure elements (eV per atom)
1,0.8239
2,2.1692
3,2.4192